Entry from Alexandria: a geometry-optimized SrLi2Re structure (PBE).

Properties
ΔE_f: 843 meV/atom
Space-group type: Cmmm, No. 65
Relative energy among the computed polymorphs: 0.1842 eV per atom

Cell lengths 5.3346, 5.3346, 2.7579 Å; angles 90.00, 90.00, 109.18 degrees
With the nearest neighbours (Å) after each atom.
Fractional coordinates of all 4 atoms:
Sr  0.0000  0.0000  0.0000  2 Sr 2.76, 8 Li 3.00
Li  0.0000  0.5000  0.5000  2 Li 2.76, 4 Re 3.00, 4 Sr 3.00
Li  0.5000  0.0000  0.5000  2 Li 2.76, 4 Re 3.00, 4 Sr 3.00
Re  0.5000  0.5000  0.0000  2 Re 2.76, 8 Li 3.00



Entry from Alexandria: a geometry-optimized SrLi4Re structure (PBE).

Properties
ΔE_f: 595 meV/atom
Space-group type: F-43m, No. 216

Cell lengths 5.4247, 5.4247, 5.4247 Å; angles 60.00, 60.00, 60.00 degrees
With the nearest neighbours (Å) after each atom.
Fractional coordinates of all 6 atoms:
Sr  0.0000  0.0000  0.0000  12 Li 3.19, 4 Re 3.32
Li  0.1391  0.6203  0.6203  6 Li 2.61-2.81
Li  0.6203  0.1391  0.6203  6 Li 2.61-2.81
Li  0.6203  0.6203  0.1391  6 Li 2.61-2.81
Li  0.6203  0.6203  0.6203  6 Li 2.61-2.81
Re  0.2500  0.2500  0.2500  12 Li 3.17, 4 Sr 3.32